Density functional theory data (PBE) for a relaxed KLaS2 crystal.

Its formation energy without anion corrections is -1.684 eV per atom.

The space group is I-42d (No. 122) and the conventional cell measures 7.6270, 7.6270 and 9.7615 Å, with angles of 90.00, 90.00 and 90.00 degrees. The distinct sites, in fractional coordinates, are K at (0.0000, 0.0000, 0.0000), La at (0.0000, 0.0000, 0.5000) and S at (0.2052, 0.2500, 0.6250).